Record 1
## CuNi4Pt15 (PBE)

Data for a relaxed structure of CuNi4Pt15.

Computed properties:
volume = 14.66 Å³/atom
DFT total energy = -119.492 eV/f.u.
calculated density = 18.26 g cm⁻³
magnetization = 4.17 μB/f.u.
energy relative to the elements = -83 meV per atom

Unit cell a=3.869 b=3.869 c=19.588 alpha=90.00 beta=90.00 gamma=90.00
Last column: magnetic moment on the atom in μB.
Atoms (fractional coordinates):
Cu 0.000 0.000 0.000  -0.03
Ni 0.000 0.000 0.202  0.62
Ni 0.000 0.000 0.400  0.69
Ni 0.000 0.000 0.600  0.69
Ni 0.000 0.000 0.798  0.62
Pt 0.500 0.500 0.000  0.03
Pt 0.500 0.500 0.200  0.12
Pt 0.500 0.500 0.400  0.17
Pt 0.500 0.500 0.600  0.17
Pt 0.500 0.500 0.800  0.12
Pt 0.500 0.000 0.101  0.05
Pt 0.500 0.000 0.300  0.15
Pt 0.500 0.000 0.500  0.16
Pt 0.500 0.000 0.700  0.15
Pt 0.500 0.000 0.899  0.05
Pt 0.000 0.500 0.101  0.05
Pt 0.000 0.500 0.300  0.15
Pt 0.000 0.500 0.500  0.16
Pt 0.000 0.500 0.700  0.15
Pt 0.000 0.500 0.899  0.05

Record 2
## Cu6Ni3Pt (PBE)

Data for a relaxed structure of Cu6Ni3Pt.

Computed properties:
volume = 12.04 Å³/atom
DFT total energy = -47.851 eV/f.u.
calculated density = 10.37 g cm⁻³
magnetization = 0.54 μB/f.u.
energy relative to the elements = 11 meV per atom

Unit cell a=4.210 b=9.185 c=8.999 alpha=136.19 beta=90.00 gamma=90.00
Last column: magnetic moment on the atom in μB.
Atoms (fractional coordinates):
Cu 0.250 0.396 0.463  0.01
Cu 0.750 0.604 0.537  0.01
Cu 0.250 0.996 0.166  0.00
Cu 0.750 0.004 0.834  0.00
Cu 0.250 0.987 0.659  0.01
Cu 0.750 0.013 0.341  0.01
Cu 0.250 0.808 0.281  0.01
Cu 0.750 0.192 0.719  0.01
Cu 0.250 0.596 0.854  0.01
Cu 0.750 0.404 0.146  0.01
Cu 0.250 0.189 0.069  0.00
Cu 0.750 0.811 0.931  0.00
Ni 0.250 0.202 0.564  0.20
Ni 0.750 0.798 0.436  0.20
Ni 0.250 0.599 0.373  0.23
Ni 0.750 0.401 0.627  0.23
Ni 0.250 0.795 0.761  0.05
Ni 0.750 0.205 0.239  0.05
Pt 0.250 0.387 0.965  0.05
Pt 0.750 0.613 0.035  0.05